This record from Alexandria describes a relaxed structure of Li4AcSc. The functional is PBE.

It has space group F-43m (No. 216), with a = 8.3701 Å, b = 8.3701 Å, c = 8.3701 Å, α = 90.00°, β = 90.00° and γ = 90.00°. The asymmetric unit holds Li at (0.1225, 0.1225, 0.3775), Ac at (0.0000, 0.0000, 0.0000) and Sc at (0.2500, 0.2500, 0.7500).

The value obtained for the total energy is -2.89 eV/atom. The value obtained for the calculated density is 3.395 g/cm3. As for the crystal system: cubic. The calculated formation energy is 0.13 eV per atom.